Here is a relaxed structure of Sc4InNi2 from Alexandria. Energies are from PBE.

a = 4.4286 Å, b = 4.4286 Å, c = 9.1395 Å
α = 75.98°, β = 75.98°, γ = 60.00°
Element x y z (fractional)
Sc  0.3941  0.3941  0.8176
Sc  0.6059  0.6059  0.1824
Sc  0.7998  0.7998  0.6006
Ni  0.0995  0.0995  0.7015
In  0.0000  0.0000  0.0000
Sc  0.2002  0.2002  0.3994
Ni  0.9005  0.9005  0.2985

Values from the calculation:
As for the uncorrected energy: -5.86 eV/atom. As for the space group: No. 166. The formation energy from the elements is -19.3 kJ/mol of atoms.

Here is a relaxed structure of ScIn2Ni9 from Alexandria. Energies are from PBE.

a = 4.8435 Å, b = 4.8435 Å, c = 8.4057 Å
α = 73.26°, β = 73.26°, γ = 60.00°
Each line ends with the local moment (μB).
Element x y z (fractional)
Ni  0.0802  0.5841  0.7516  0.26
In  0.1385  0.1385  0.5846  -0.01
Ni  0.6662  0.6662  0.0015  0.35
In  0.8615  0.8615  0.4154  -0.01
Ni  0.5841  0.0802  0.7516  0.26
Ni  0.4159  0.9198  0.2484  0.26
Ni  0.5000  0.5000  0.5000  0.16
Sc  0.0000  0.0000  0.0000  -0.06
Ni  0.4159  0.4159  0.2484  0.26
Ni  0.3338  0.3338  0.9985  0.35
Ni  0.5841  0.5841  0.7516  0.26
Ni  0.9198  0.4159  0.2484  0.26

Values from the calculation:
As for the uncorrected energy: -5.50 eV/atom. As for the space group: No. 166. The formation energy from the elements is -17.4 kJ/mol of atoms.

Here is a relaxed structure of Sc2InNi2 from Alexandria. Energies are from PBE.

a = 3.3051 Å, b = 7.2260 Å, c = 7.2260 Å
α = 90.00°, β = 90.00°, γ = 90.00°
Element x y z (fractional)
Sc  0.5000  0.8304  0.3304
In  0.0000  0.0000  0.0000
Ni  0.0000  0.1236  0.3764
Sc  0.5000  0.1696  0.6696
Sc  0.5000  0.3304  0.1696
Sc  0.5000  0.6696  0.8304
In  0.0000  0.5000  0.5000
Ni  0.0000  0.8764  0.6236
Ni  0.0000  0.6236  0.1236
Ni  0.0000  0.3764  0.8764

Values from the calculation:
As for the uncorrected energy: -5.92 eV/atom. As for the space group: No. 127. The formation energy from the elements is -51.1 kJ/mol of atoms.

Here is a relaxed structure of ScIn2Ni from Alexandria. Energies are from PBE.

a = 3.1992 Å, b = 3.1967 Å, c = 7.4602 Å
α = 90.00°, β = 90.00°, γ = 90.00°
Each line ends with the local moment (μB).
Element x y z (fractional)
In  0.0000  0.0000  0.0403  0.01
Sc  0.5000  0.5000  0.7500  0.38
Ni  0.5000  0.5000  0.2500  0.03
In  0.0000  0.0000  0.4597  0.01

Values from the calculation:
As for the uncorrected energy: -4.65 eV/atom. As for the space group: No. 123. The formation energy from the elements is -24.6 kJ/mol of atoms.

Here is a relaxed structure of Sc2InNi from Alexandria. Energies are from PBE.

a = 9.0862 Å, b = 9.0862 Å, c = 9.0862 Å
α = 20.97°, β = 20.97°, γ = 20.97°
Each line ends with the local moment (μB).
Element x y z (fractional)
Ni  0.7488  0.7488  0.7488  0.00
Sc  0.2474  0.2474  0.2474  0.27
Sc  0.0170  0.0170  0.0170  0.05
In  0.4868  0.4868  0.4868  0.00

Values from the calculation:
As for the uncorrected energy: -5.36 eV/atom. As for the space group: No. 160. The formation energy from the elements is -6.4 kJ/mol of atoms.

Here is a relaxed structure of ScInNi from Alexandria. Energies are from PBE.

a = 3.3378 Å, b = 7.5289 Å, c = 13.0263 Å
α = 90.00°, β = 90.00°, γ = 90.00°
Element x y z (fractional)
Ni  0.5000  0.0678  0.4089
In  0.5000  0.5682  0.8895
Sc  0.0000  0.7955  0.4515
Sc  0.0000  0.2045  0.9515
Sc  0.0000  0.7955  0.0485
Ni  0.0000  0.4405  0.7500
In  0.5000  0.8310  0.2500
Sc  0.0000  0.8299  0.7500
Ni  0.0000  0.5595  0.2500
In  0.5000  0.1690  0.7500
In  0.5000  0.4318  0.3895
In  0.5000  0.5682  0.6105
In  0.5000  0.4318  0.1105
Sc  0.0000  0.2045  0.5485
Ni  0.5000  0.9322  0.9089
Ni  0.5000  0.9322  0.5911
Sc  0.0000  0.1701  0.2500
Ni  0.5000  0.0678  0.0911

Values from the calculation:
As for the uncorrected energy: -5.44 eV/atom. As for the space group: No. 51. The formation energy from the elements is -47.0 kJ/mol of atoms.

Here is a relaxed structure of Sc3InNi from Alexandria. Energies are from PBE.

a = 5.2832 Å, b = 5.2832 Å, c = 5.2832 Å
α = 90.00°, β = 90.00°, γ = 90.00°
Element x y z (fractional)
Ni  0.5000  0.5000  0.5000
Sc  0.0000  0.5000  0.0000
In  0.0000  0.0000  0.0000
Sc  0.0000  0.0000  0.5000
Sc  0.5000  0.0000  0.0000

Values from the calculation:
As for the uncorrected energy: -4.62 eV/atom. As for the space group: No. 221. The value obtained for the distance to the lowest polymorph of the same formula is 1.233 eV/atom. The formation energy from the elements is 85.6 kJ/mol of atoms.

Here is a relaxed structure of Sc3InNi8 from Alexandria. Energies are from PBE.

a = 4.8923 Å, b = 4.8923 Å, c = 7.9922 Å
α = 90.00°, β = 90.00°, γ = 120.00°
Element x y z (fractional)
In  0.0000  0.0000  0.5573
Ni  0.5008  0.0017  0.7531
Sc  0.6667  0.3333  0.0651
Ni  0.5008  0.4992  0.7531
Ni  0.3333  0.6667  0.0047
Ni  0.1649  0.3299  0.2484
Ni  0.9983  0.4992  0.7531
Ni  0.3333  0.6667  0.5005
Ni  0.1649  0.8351  0.2484
Ni  0.6701  0.8351  0.2484
Sc  0.0000  0.0000  0.9234
Sc  0.6667  0.3333  0.4445

Values from the calculation:
As for the uncorrected energy: -6.12 eV/atom. As for the space group: No. 156. The value obtained for the distance to the lowest polymorph of the same formula is 0.011 eV/atom. The formation energy from the elements is -44.0 kJ/mol of atoms.

Here is a relaxed structure of Sc2InNi from Alexandria. Energies are from PBE.

a = 3.1748 Å, b = 3.1748 Å, c = 7.9265 Å
α = 90.00°, β = 90.00°, γ = 90.00°
Each line ends with the local moment (μB).
Element x y z (fractional)
Sc  0.0000  0.0000  0.9397  0.04
Ni  0.5000  0.5000  0.7500  0.01
Sc  0.5000  0.5000  0.2668  0.20
In  0.0000  0.0000  0.5436  0.00

Values from the calculation:
As for the uncorrected energy: -5.55 eV/atom. As for the space group: No. 99. The formation energy from the elements is -24.6 kJ/mol of atoms.

Here is a relaxed structure of ScIn3Ni8 from Alexandria. Energies are from PBE.

a = 4.9232 Å, b = 4.9232 Å, c = 7.9634 Å
α = 90.00°, β = 90.00°, γ = 120.00°
Element x y z (fractional)
Ni  0.5010  0.0019  0.7480
Ni  0.1655  0.3310  0.2507
Ni  0.9981  0.4990  0.7480
Sc  0.0000  0.0000  0.5679
Ni  0.1655  0.8345  0.2507
Ni  0.3333  0.6667  0.9966
Ni  0.5010  0.4990  0.7480
In  0.6667  0.3333  0.0621
In  0.0000  0.0000  0.9379
In  0.6667  0.3333  0.4402
Ni  0.6690  0.8345  0.2507
Ni  0.3333  0.6667  0.4994

Values from the calculation:
As for the uncorrected energy: -5.28 eV/atom. As for the space group: No. 156. The formation energy from the elements is -20.2 kJ/mol of atoms.

| no. | calculated volume (Å³ per cell) |
| --- | --- |
| 1 | 149.0 |
| 2 | 161.0 |
| 3 | 172.6 |
| 4 | 76.3 |
| 5 | 84.2 |
| 6 | 327.4 |
| 7 | 147.5 |
| 8 | 165.7 |
| 9 | 79.9 |
| 10 | 167.2 |